LiPuSc2Tl4 | GGA-PBE | relaxed

Lattice parameters (Å, degrees): 5.1269 5.1269 9.0633 73.57 73.57 60.00
Last column: nearest neighbours and their distance in Å.
Fractional positions:
1 Tl 0.8704 0.8704 0.3889  4 Sc 3.09-3.19, 3 Li 3.11, 1 Pu 3.33
2 Pu 0.0000 0.0000 0.0000  8 Tl 3.21-3.33
3 Tl 0.1296 0.1296 0.6111  4 Sc 3.09-3.19, 3 Li 3.11, 1 Pu 3.33
4 Sc 0.2499 0.2499 0.2504  8 Tl 3.09-3.38
5 Tl 0.6186 0.6186 0.1443  1 Li 3.05, 4 Sc 3.10-3.38, 3 Pu 3.21
6 Sc 0.7501 0.7501 0.7496  8 Tl 3.09-3.38
7 Li 0.5000 0.5000 0.5000  8 Tl 3.05-3.11
8 Tl 0.3814 0.3814 0.8557  1 Li 3.05, 4 Sc 3.10-3.38, 3 Pu 3.21

theoretical density	9.86	g/cm³
symmetry	R-3m
total magnetization	6.32	μB per formula unit
electronic total energy	-0.365	Ry/atom